# 1
## RbHfBi2 (PBEsol)

Data for a geometry-optimized RbHfBi2 structure.

a = 5.4549 Å, b = 5.4549 Å, c = 5.4549 Å
α = 60.00°, β = 60.00°, γ = 60.00°
Fractional coordinates of all 4 atoms:
Rb: 0.0000 0.0000 0.0000
Hf: 0.5000 0.5000 0.5000
Bi: 0.2500 0.2500 0.2500
Bi: 0.7500 0.7500 0.7500

Computed properties:
Space group: No. 225
Energy of formation (kJ/mol of atoms): 20.9
Density (Mg/m³): 9.87


# 2
## HfRe2Bi2 (PBEsol)

Data for a geometry-optimized HfRe2Bi2 structure.

a = 9.5446 Å, b = 9.5446 Å, c = 9.5446 Å
α = 158.85°, β = 158.85°, γ = 30.08°
Fractional coordinates of all 5 atoms:
Hf: 0.0000 0.0000 0.0000
Re: 0.2500 0.7500 0.5000
Re: 0.7500 0.2500 0.5000
Bi: 0.3894 0.3894 0.0000
Bi: 0.6106 0.6106 0.0000

Computed properties:
Space group: No. 139
Energy of formation (kJ/mol of atoms): 84.6
Density (Mg/m³): 14.22


# 3
## Hf2BiRh2 (PBEsol)

Data for a geometry-optimized Hf2BiRh2 structure.

a = 7.6806 Å, b = 7.6806 Å, c = 3.1729 Å
α = 90.00°, β = 90.00°, γ = 90.00°
Fractional coordinates of all 10 atoms:
Hf: 0.1565 0.3435 0.0000
Hf: 0.3435 0.8435 0.0000
Hf: 0.6565 0.1565 0.0000
Hf: 0.8435 0.6565 0.0000
Bi: 0.0000 0.0000 0.5000
Bi: 0.5000 0.5000 0.5000
Rh: 0.1314 0.6314 0.5000
Rh: 0.3686 0.1314 0.5000
Rh: 0.6314 0.8686 0.5000
Rh: 0.8686 0.3686 0.5000

Computed properties:
Space group: No. 127
Energy of formation (kJ/mol of atoms): -62.9
Density (Mg/m³): 13.69


# 4
## HfBiRh2W (PBEsol)

Data for a geometry-optimized HfBiRh2W structure.

a = 4.6356 Å, b = 4.6356 Å, c = 5.3354 Å
α = 90.00°, β = 90.00°, γ = 90.00°
Fractional coordinates of all 5 atoms:
Hf: 0.0000 0.0000 0.0000
Bi: 0.0000 0.0000 0.5000
Rh: 0.0000 0.5000 0.0000
Rh: 0.5000 0.0000 0.0000
W: 0.5000 0.5000 0.5000

Computed properties:
Space group: No. 123
Energy of formation (kJ/mol of atoms): 164.6
Density (Mg/m³): 11.26


# 5
## Y2HfBiRu (PBEsol)

Data for a geometry-optimized Y2HfBiRu structure.

a = 5.2938 Å, b = 5.2938 Å, c = 4.8676 Å
α = 90.00°, β = 90.00°, γ = 90.00°
Fractional coordinates of all 5 atoms:
Y: 0.0000 0.5000 0.0000
Y: 0.5000 0.0000 0.0000
Hf: 0.0000 0.0000 0.5000
Bi: 0.5000 0.5000 0.5000
Ru: 0.0000 0.0000 0.0000

Computed properties:
Space group: No. 123
Energy of formation (kJ/mol of atoms): -14.6
Density (Mg/m³): 8.11


# 6
## Hf2Bi2S (PBEsol)

Data for a geometry-optimized Hf2Bi2S structure.

a = 8.1025 Å, b = 8.1025 Å, c = 3.6884 Å
α = 90.00°, β = 90.00°, γ = 90.00°
Fractional coordinates of all 10 atoms:
Hf: 0.1327 0.3673 0.0000
Hf: 0.3673 0.8673 0.0000
Hf: 0.6327 0.1327 0.0000
Hf: 0.8673 0.6327 0.0000
Bi: 0.1622 0.6622 0.5000
Bi: 0.3378 0.1622 0.5000
Bi: 0.6622 0.8378 0.5000
Bi: 0.8378 0.3378 0.5000
S: 0.0000 0.0000 0.5000
S: 0.5000 0.5000 0.5000

Computed properties:
Space group: No. 127
Formation energy (no corrections) (eV per atom): 0.208
Density (Mg/m³): 11.07


# 7
## Hf2SiBiS (PBEsol)

Data for a geometry-optimized Hf2SiBiS structure.

a = 4.9363 Å, b = 4.9363 Å, c = 5.0566 Å
α = 90.00°, β = 90.00°, γ = 90.00°
Fractional coordinates of all 5 atoms:
Hf: 0.0000 0.5000 0.0000
Hf: 0.5000 0.0000 0.0000
Si: 0.0000 0.0000 0.0000
Bi: 0.0000 0.0000 0.5000
S: 0.5000 0.5000 0.5000

Computed properties:
Space group: No. 123
Formation energy (no corrections) (eV per atom): 0.674
Density (Mg/m³): 8.44


# 8
## HfTiBi2S (PBEsol)

Data for a geometry-optimized HfTiBi2S structure.

a = 5.6227 Å, b = 5.6227 Å, c = 4.6858 Å
α = 90.00°, β = 90.00°, γ = 90.00°
Fractional coordinates of all 5 atoms:
Hf: 0.0000 0.0000 0.0000
Ti: 0.5000 0.5000 0.5000
Bi: 0.0000 0.5000 0.0000
Bi: 0.5000 0.0000 0.0000
S: 0.0000 0.0000 0.5000

Computed properties:
Space group: No. 123
Formation energy (no corrections) (eV per atom): 0.386
Density (Mg/m³): 7.58


# 9
## HfBiW2S (PBEsol)

Data for a geometry-optimized HfBiW2S structure.

a = 4.9748 Å, b = 4.9748 Å, c = 5.3139 Å
α = 90.00°, β = 90.00°, γ = 90.00°
Fractional coordinates of all 5 atoms:
Hf: 0.0000 0.0000 0.0000
Bi: 0.0000 0.0000 0.5000
W: 0.0000 0.5000 0.5000
W: 0.5000 0.0000 0.5000
S: 0.5000 0.5000 0.0000

Computed properties:
Space group: No. 123
Formation energy (no corrections) (eV per atom): 2.835
Density (Mg/m³): 9.94


# 10
## Hf2Bi2Sb (PBEsol)

Data for a geometry-optimized Hf2Bi2Sb structure.

a = 7.8306 Å, b = 7.8306 Å, c = 3.9718 Å
α = 90.00°, β = 90.00°, γ = 90.00°
Fractional coordinates of all 10 atoms:
Hf: 0.1497 0.3503 0.0000
Hf: 0.3503 0.8503 0.0000
Hf: 0.6497 0.1497 0.0000
Hf: 0.8503 0.6497 0.0000
Bi: 0.1487 0.6487 0.5000
Bi: 0.3513 0.1487 0.5000
Bi: 0.6487 0.8513 0.5000
Bi: 0.8513 0.3513 0.5000
Sb: 0.0000 0.0000 0.0000
Sb: 0.5000 0.5000 0.0000

Computed properties:
Space group: No. 127
Formation energy (no corrections) (eV per atom): -0.198
Density (Mg/m³): 12.23


# 11
## Hf2SnBiSb (PBEsol)

Data for a geometry-optimized Hf2SnBiSb structure.

a = 5.3682 Å, b = 5.3682 Å, c = 5.5863 Å
α = 90.00°, β = 90.00°, γ = 90.00°
Fractional coordinates of all 5 atoms:
Hf: 0.0000 0.5000 0.0000
Hf: 0.5000 0.0000 0.0000
Sn: 0.0000 0.0000 0.5000
Bi: 0.0000 0.0000 0.0000
Sb: 0.5000 0.5000 0.5000

Computed properties:
Space group: No. 123
Formation energy (no corrections) (eV per atom): 1.251
Density (Mg/m³): 8.32


# 12
## HfScBi3 (PBEsol)

Data for a geometry-optimized HfScBi3 structure.

a = 5.5251 Å, b = 5.5251 Å, c = 5.5251 Å
α = 90.00°, β = 90.00°, γ = 90.00°
Fractional coordinates of all 5 atoms:
Hf: 0.0000 0.0000 0.0000
Sc: 0.5000 0.5000 0.5000
Bi: 0.0000 0.0000 0.5000
Bi: 0.0000 0.5000 0.0000
Bi: 0.5000 0.0000 0.0000

Computed properties:
Space group: No. 221
Energy of formation (kJ/mol of atoms): 40.3
Density (Mg/m³): 8.37


# 13
## Hf2TaBiSe (PBEsol)

Data for a geometry-optimized Hf2TaBiSe structure.

a = 5.3149 Å, b = 5.3149 Å, c = 5.0831 Å
α = 90.00°, β = 90.00°, γ = 90.00°
Fractional coordinates of all 5 atoms:
Hf: 0.0000 0.5000 0.0000
Hf: 0.5000 0.0000 0.0000
Ta: 0.0000 0.0000 0.5000
Bi: 0.0000 0.0000 0.0000
Se: 0.5000 0.5000 0.5000

Computed properties:
Space group: No. 123
Formation energy (no corrections) (eV per atom): 1.811
Density (Mg/m³): 9.55


# 14
## HfSiBi2 (PBEsol)

Data for a geometry-optimized HfSiBi2 structure.

a = 7.9528 Å, b = 7.9528 Å, c = 7.9528 Å
α = 131.72°, β = 131.72°, γ = 70.67°
Fractional coordinates of all 8 atoms:
Hf: 0.0000 0.0000 0.0000
Hf: 0.7500 0.2500 0.5000
Si: 0.2500 0.7500 0.5000
Si: 0.5000 0.5000 0.0000
Bi: 0.1340 0.6250 0.0090
Bi: 0.3750 0.3840 0.5090
Bi: 0.6160 0.1250 0.9910
Bi: 0.8750 0.8660 0.4910

Computed properties:
Space group: No. 122
Formation energy (no corrections) (eV per atom): 0.646
Density (Mg/m³): 7.56


# 15
## Hf3SiBi (PBEsol)

Data for a geometry-optimized Hf3SiBi structure.

a = 5.2428 Å, b = 5.2428 Å, c = 5.2428 Å
α = 90.00°, β = 90.00°, γ = 90.00°
Fractional coordinates of all 5 atoms:
Hf: 0.0000 0.0000 0.5000
Hf: 0.0000 0.5000 0.0000
Hf: 0.5000 0.0000 0.0000
Si: 0.5000 0.5000 0.5000
Bi: 0.0000 0.0000 0.0000

Computed properties:
Space group: No. 221
Formation energy (no corrections) (eV per atom): 1.627
Density (Mg/m³): 8.90


# 16
## HfSn3Bi (PBEsol)

Data for a geometry-optimized HfSn3Bi structure.

a = 5.4598 Å, b = 5.4598 Å, c = 5.4598 Å
α = 90.00°, β = 90.00°, γ = 90.00°
Fractional coordinates of all 5 atoms:
Hf: 0.0000 0.0000 0.0000
Sn: 0.0000 0.0000 0.5000
Sn: 0.0000 0.5000 0.0000
Sn: 0.5000 0.0000 0.0000
Bi: 0.5000 0.5000 0.5000

Computed properties:
Space group: No. 221
Energy of formation (kJ/mol of atoms): 44.2
Density (Mg/m³): 7.59


# 17
## SrHfBi2 (PBEsol)

Data for a geometry-optimized SrHfBi2 structure.

a = 6.8882 Å, b = 6.8882 Å, c = 6.8882 Å
α = 105.69°, β = 105.69°, γ = 117.33°
Fractional coordinates of all 8 atoms:
Sr: 0.0000 0.0000 0.0000
Sr: 0.7500 0.2500 0.5000
Hf: 0.2500 0.7500 0.5000
Hf: 0.5000 0.5000 0.0000
Bi: 0.1558 0.1250 0.5308
Bi: 0.3750 0.8442 0.9692
Bi: 0.5942 0.6250 0.4692
Bi: 0.8750 0.4058 0.0308

Computed properties:
Space group: No. 122
Energy of formation (kJ/mol of atoms): -19.0
Density (Mg/m³): 9.16


# 18
## Sr2HfZrBi (PBEsol)

Data for a geometry-optimized Sr2HfZrBi structure.

a = 6.0384 Å, b = 6.0384 Å, c = 5.4970 Å
α = 90.00°, β = 90.00°, γ = 90.00°
Fractional coordinates of all 5 atoms:
Sr: 0.0000 0.5000 0.0000
Sr: 0.5000 0.0000 0.0000
Hf: 0.0000 0.0000 0.5000
Zr: 0.5000 0.5000 0.5000
Bi: 0.5000 0.5000 0.0000

Computed properties:
Space group: No. 123
Energy of formation (kJ/mol of atoms): 91.8
Density (Mg/m³): 5.42


# 19
## HfTaBi2 (PBEsol)

Data for a geometry-optimized HfTaBi2 structure.

a = 8.1661 Å, b = 8.1661 Å, c = 8.1661 Å
α = 134.78°, β = 134.78°, γ = 65.88°
Fractional coordinates of all 8 atoms:
Hf: 0.0000 0.0000 0.0000
Hf: 0.7500 0.2500 0.5000
Ta: 0.2500 0.7500 0.5000
Ta: 0.5000 0.5000 0.0000
Bi: 0.1371 0.6250 0.0121
Bi: 0.3750 0.3871 0.5121
Bi: 0.6129 0.1250 0.9879
Bi: 0.8750 0.8629 0.4879

Computed properties:
Space group: No. 122
Energy of formation (kJ/mol of atoms): 117.5
Density (Mg/m³): 9.55


# 20
## HfTa3Bi (PBEsol)

Data for a geometry-optimized HfTa3Bi structure.

a = 4.9126 Å, b = 4.9126 Å, c = 4.9126 Å
α = 90.00°, β = 90.00°, γ = 90.00°
Fractional coordinates of all 5 atoms:
Hf: 0.0000 0.0000 0.0000
Ta: 0.0000 0.0000 0.5000
Ta: 0.0000 0.5000 0.0000
Ta: 0.5000 0.0000 0.0000
Bi: 0.5000 0.5000 0.5000

Computed properties:
Space group: No. 221
Energy of formation (kJ/mol of atoms): 168.6
Density (Mg/m³): 13.03


# 21
## HfTaBi3 (PBEsol)

Data for a geometry-optimized HfTaBi3 structure.

a = 5.4678 Å, b = 5.4678 Å, c = 5.4678 Å
α = 90.00°, β = 90.00°, γ = 90.00°
Fractional coordinates of all 5 atoms:
Hf: 0.0000 0.0000 0.0000
Ta: 0.5000 0.5000 0.5000
Bi: 0.0000 0.0000 0.5000
Bi: 0.0000 0.5000 0.0000
Bi: 0.5000 0.0000 0.0000

Computed properties:
Space group: No. 221
Energy of formation (kJ/mol of atoms): 130.5
Density (Mg/m³): 10.02


# 22
## YHfTa2Bi (PBEsol)

Data for a geometry-optimized YHfTa2Bi structure.

a = 5.1139 Å, b = 5.1139 Å, c = 5.3860 Å
α = 90.00°, β = 90.00°, γ = 90.00°
Fractional coordinates of all 5 atoms:
Y: 0.0000 0.0000 0.0000
Hf: 0.5000 0.5000 0.0000
Ta: 0.0000 0.5000 0.5000
Ta: 0.5000 0.0000 0.5000
Bi: 0.0000 0.0000 0.5000

Computed properties:
Space group: No. 123
Energy of formation (kJ/mol of atoms): 164.6
Density (Mg/m³): 9.88


# 23
## HfTiTc2Bi (PBEsol)

Data for a geometry-optimized HfTiTc2Bi structure.

a = 4.6484 Å, b = 4.6484 Å, c = 5.3488 Å
α = 90.00°, β = 90.00°, γ = 90.00°
Fractional coordinates of all 5 atoms:
Hf: 0.0000 0.0000 0.0000
Ti: 0.5000 0.5000 0.5000
Tc: 0.0000 0.5000 0.0000
Tc: 0.5000 0.0000 0.0000
Bi: 0.0000 0.0000 0.5000

Computed properties:
Space group: No. 123
Energy of formation (kJ/mol of atoms): 159.5
Density (Mg/m³): 9.07


# 24
## HfBiTe2 (PBEsol)

Data for a geometry-optimized HfBiTe2 structure.

a = 10.1546 Å, b = 10.1546 Å, c = 10.1546 Å
α = 21.17°, β = 21.17°, γ = 21.17°
Fractional coordinates of all 4 atoms:
Hf: 0.0000 0.0000 0.0000
Bi: 0.5000 0.5000 0.5000
Te: 0.3954 0.3954 0.3954
Te: 0.6046 0.6046 0.6046

Computed properties:
Space group: No. 166
Formation energy (no corrections) (eV per atom): -0.465
Density (Mg/m³): 8.92


# 25
## Hf2BiTe (PBEsol)

Data for a geometry-optimized Hf2BiTe structure.

a = 5.0006 Å, b = 5.0006 Å, c = 5.0006 Å
α = 60.00°, β = 60.00°, γ = 60.00°
Fractional coordinates of all 4 atoms:
Hf: 0.2500 0.2500 0.2500
Hf: 0.7500 0.7500 0.7500
Bi: 0.0000 0.0000 0.0000
Te: 0.5000 0.5000 0.5000

Computed properties:
Space group: No. 225
Formation energy (no corrections) (eV per atom): -0.331
Density (Mg/m³): 13.02


# 26
## Hf2TlBi (PBEsol)

Data for a geometry-optimized Hf2TlBi structure.

a = 5.0209 Å, b = 5.0209 Å, c = 5.0209 Å
α = 60.00°, β = 60.00°, γ = 60.00°
Fractional coordinates of all 4 atoms:
Hf: 0.2500 0.2500 0.2500
Hf: 0.7500 0.7500 0.7500
Tl: 0.0000 0.0000 0.0000
Bi: 0.5000 0.5000 0.5000

Computed properties:
Space group: No. 225
Energy of formation (kJ/mol of atoms): 10.9
Density (Mg/m³): 14.29


# 27
## YHfBiW2 (PBEsol)

Data for a geometry-optimized YHfBiW2 structure.

a = 4.7808 Å, b = 4.7808 Å, c = 5.5071 Å
α = 90.00°, β = 90.00°, γ = 90.00°
Fractional coordinates of all 5 atoms:
Y: 0.0000 0.0000 0.0000
Hf: 0.0000 0.0000 0.5000
Bi: 0.5000 0.5000 0.0000
W: 0.0000 0.5000 0.5000
W: 0.5000 0.0000 0.5000

Computed properties:
Space group: No. 123
Energy of formation (kJ/mol of atoms): 160.2
Density (Mg/m³): 11.14


# 28
## YHfBi2 (PBEsol)

Data for a geometry-optimized YHfBi2 structure.

a = 8.1667 Å, b = 8.1667 Å, c = 8.1667 Å
α = 130.59°, β = 130.59°, γ = 72.46°
Fractional coordinates of all 8 atoms:
Y: 0.0000 0.0000 0.0000
Y: 0.7500 0.2500 0.5000
Hf: 0.2500 0.7500 0.5000
Hf: 0.5000 0.5000 0.0000
Bi: 0.1504 0.6250 0.0254
Bi: 0.3750 0.4004 0.5254
Bi: 0.5996 0.1250 0.9746
Bi: 0.8750 0.8496 0.4746

Computed properties:
Space group: No. 122
Energy of formation (kJ/mol of atoms): 17.8
Density (Mg/m³): 7.41